No. 1
Computed, not measured: NdAl3Ni after structural relaxation at the PBE level of DFT.

calculated density	5.0	g/cm3
raw total energy	-48.74	eV per cell

abc: 4.242 4.242 10.397
angles: 90.00 90.00 90.00
Space group I4mm (No. 107)
One atom of each set of equivalent atoms:
Nd: 0.000 0.000 0.000 x2
Al: 0.000 0.000 0.586 x2
Al: 0.000 0.500 0.254 x4
Ni: 0.000 0.000 0.361 x2

***

No. 2
Computed, not measured: NdAl2Ni after structural relaxation at the PBE level of DFT.

calculated density	5.6	g/cm3
raw total energy	-80.75	eV per cell

abc: 4.069 10.871 6.925
angles: 90.00 90.00 90.00
Space group Cmcm (No. 63)
One atom of each set of equivalent atoms:
Nd: 0.000 0.055 0.250 x4
Al: 0.000 0.332 0.057 x8
Ni: 0.000 0.218 0.750 x4

***

No. 3
Computed, not measured: Nd2AlNiOs after structural relaxation at the PBE level of DFT.

calculated density	8.9	g/cm3
raw total energy	-63.62	eV per cell

abc: 4.162 8.921 5.688
angles: 90.00 90.00 90.00
Space group Imm2 (No. 44)
One atom of each set of equivalent atoms:
Nd: 0.000 0.197 0.000 x4
Al: 0.000 0.000 0.506 x2
Ni: 0.000 0.500 0.744 x2
Os: 0.000 0.500 0.268 x2

***

No. 4
Computed, not measured: NdAl5NiPd after structural relaxation at the PBE level of DFT.

calculated density	5.2	g/cm3
raw total energy	-78.73	eV per cell

abc: 4.034 7.206 9.756
angles: 90.00 90.00 90.00
Space group Imm2 (No. 44)
One atom of each set of equivalent atoms:
Nd: 0.000 0.000 0.000 x2
Al: 0.000 0.183 0.661 x4
Al: 0.000 0.198 0.354 x4
Al: 0.000 0.500 0.012 x2
Ni: 0.000 0.500 0.248 x2
Pd: 0.000 0.500 0.765 x2

***

No. 5
Computed, not measured: Nd2Al2NiPd3 after structural relaxation at the PBE level of DFT.

calculated density	7.6	g/cm3
raw total energy	-44.37	eV per cell

abc: 4.3675 4.3675 9.5885
angles: 90.00 90.00 120.00
Space group P3m1 (No. 156)
One atom of each set of equivalent atoms:
Nd: 0.0000 0.0000 0.0000 x1
Nd: 0.3333 0.6667 0.4888 x1
Al: 0.6667 0.3333 0.2358 x1
Al: 0.6667 0.3333 0.7449 x1
Ni: 0.3333 0.6667 0.1843 x1
Pd: 0.0000 0.0000 0.3098 x1
Pd: 0.0000 0.0000 0.6726 x1
Pd: 0.3333 0.6667 0.8167 x1

***

No. 6
Computed, not measured: PrNdAl4Ni2 after structural relaxation at the PBE level of DFT.

calculated density	5.6	g/cm3
raw total energy	-80.63	eV per cell

abc: 6.912 4.069 10.779
angles: 90.00 90.00 90.00
Space group Amm2 (No. 38)
One atom of each set of equivalent atoms:
Pr: 0.000 0.000 0.000 x2
Nd: 0.500 0.000 0.109 x2
Al: 0.194 0.000 0.722 x4
Al: 0.307 0.000 0.387 x4
Ni: 0.000 0.000 0.273 x2
Ni: 0.500 0.000 0.836 x2

***

No. 7
Computed, not measured: PrNd2Al2Ni4 after structural relaxation at the PBE level of DFT.

calculated density	6.7	g/cm3
raw total energy	-96.85	eV per cell

abc: 10.274 4.176 8.345
angles: 90.00 98.98 90.00
Space group C2/m (No. 12)
One atom of each set of equivalent atoms:
Pr: 0.000 0.000 0.000 x2
Nd: 0.125 0.500 0.381 x4
Al: 0.178 0.500 0.787 x4
Ni: 0.085 0.000 0.636 x4
Ni: 0.236 0.500 0.086 x4

***

No. 8
Computed, not measured: PrNdAl2Ni4 after structural relaxation at the PBE level of DFT.

calculated density	6.7	g/cm3
raw total energy	-43.42	eV per cell

abc: 4.1741 4.1741 9.4048
angles: 90.00 90.00 120.00
Space group P-6m2 (No. 187)
One atom of each set of equivalent atoms:
Pr: 0.0000 0.0000 0.0000 x1
Nd: 0.6667 0.3333 0.5000 x1
Al: 0.3333 0.6667 0.2519 x2
Ni: 0.0000 0.0000 0.3062 x2
Ni: 0.6667 0.3333 0.1975 x2

***

No. 9
Computed, not measured: PrNd2Al3Ni3 after structural relaxation at the PBE level of DFT.

calculated density	6.5	g/cm3
raw total energy	-93.66	eV per cell

abc: 4.061 12.230 7.086
angles: 90.00 90.00 90.00
Space group Amm2 (No. 38)
One atom of each set of equivalent atoms:
Pr: 0.000 0.000 0.000 x2
Nd: 0.000 0.210 0.370 x4
Al: 0.500 0.000 0.354 x2
Al: 0.500 0.114 0.692 x4
Ni: 0.000 0.000 0.579 x2
Ni: 0.500 0.168 0.080 x4

***

No. 10
Computed, not measured: NdAl5NiPt after structural relaxation at the PBE level of DFT.

calculated density	6.2	g/cm3
raw total energy	-81.84	eV per cell

abc: 4.042 7.223 9.772
angles: 90.00 90.00 90.00
Space group Imm2 (No. 44)
One atom of each set of equivalent atoms:
Nd: 0.000 0.000 0.000 x2
Al: 0.000 0.184 0.661 x4
Al: 0.000 0.197 0.353 x4
Al: 0.000 0.500 0.013 x2
Ni: 0.000 0.500 0.248 x2
Pt: 0.000 0.500 0.765 x2

***

No. 11
Computed, not measured: NdScAlNi2 after structural relaxation at the PBE level of DFT.

calculated density	6.0	g/cm3
raw total energy	-56.76	eV per cell

abc: 4.184 5.334 8.266
angles: 90.00 90.00 90.00
Space group Imm2 (No. 44)
One atom of each set of equivalent atoms:
Nd: 0.000 0.000 0.000 x2
Sc: 0.000 0.000 0.594 x2
Al: 0.000 0.500 0.798 x2
Ni: 0.000 0.266 0.296 x4

***

No. 12
Computed, not measured: NdSm2Al2Ni4 after structural relaxation at the PBE level of DFT.

calculated density	7.2	g/cm3
raw total energy	-97.11	eV per cell

abc: 10.038 4.147 8.275
angles: 90.00 98.43 90.00
Space group C2/m (No. 12)
One atom of each set of equivalent atoms:
Nd: 0.000 0.000 0.000 x2
Sm: 0.125 0.500 0.381 x4
Al: 0.178 0.500 0.787 x4
Ni: 0.085 0.000 0.636 x4
Ni: 0.235 0.500 0.087 x4